# PBE-GGA NbCuRe2, relaxed
data_NbCuRe2
_chemical_formula_sum 'Nb1 Cu1 Re2'
_cell_length_a 4.4120
_cell_length_b 4.4120
_cell_length_c 4.4120
_cell_angle_alpha 60.00
_cell_angle_beta 60.00
_cell_angle_gamma 60.00
_space_group_name_H-M_alt 'P 1'
_space_group_IT_number 1
loop_
_space_group_symop_operation_xyz
'x,y,z'
loop_
_atom_site_label
_atom_site_fract_x
_atom_site_fract_y
_atom_site_fract_z
Re1 0.2500 0.2500 0.2500
Re2 0.7500 0.7500 0.7500
Nb1 0.5000 0.5000 0.5000
Cu1 0.0000 0.0000 0.0000
# **ΔH_f (0 K)**: 0.31 eV/atom
# **ΔE to the lowest computed polymorph**: 0.000 eV per formula unit
# **Raw total energy**: -9.45 eV per atom
# **Space group**: No. 225
# **Crystal system**: cubic